[1]
This record from Alexandria describes a relaxed structure of Cs3Ca2RuO6. The functional is PBE. Values from VASP.

Geometry as Quantum ESPRESSO input:
```
&SYSTEM
  ibrav = 0, nat = 12, ntyp = 4
/
ATOMIC_SPECIES
Cs 132.91 Cs.upf
Ca 40.08 Ca.upf
Ru 101.07 Ru.upf
O 16.00 O.upf
CELL_PARAMETERS angstrom
-0.905 0.617 -5.956
4.782 -3.111 2.029
-4.916 -4.801 1.259
ATOMIC_POSITIONS crystal
Cs 0.167 0.833 0.500
Cs 0.833 0.167 0.500
Cs 0.500 0.500 0.500
Ca 0.333 0.667 0.000
Ca 0.667 0.333 0.000
Ru 0.000 0.000 0.000
O 0.945 0.660 0.838
O 0.769 0.769 0.167
O 0.055 0.340 0.162
O 0.660 0.945 0.838
O 0.231 0.231 0.833
O 0.340 0.055 0.162
```

Calculated total energy in eV/atom: -5.485
M_tot in μB per atom: 0.250
Formation energy (no corrections) in eV/atom: -1.6858

---

[2]
This record from Alexandria describes a relaxed structure of Cs2CaRuO6. The functional is PBE. Values from VASP.

Geometry as Quantum ESPRESSO input:
```
&SYSTEM
  ibrav = 0, nat = 10, ntyp = 4
/
ATOMIC_SPECIES
Cs 132.91 Cs.upf
Ca 40.08 Ca.upf
Ru 101.07 Ru.upf
O 16.00 O.upf
CELL_PARAMETERS angstrom
5.828 0.000 0.000
0.000 6.562 0.000
0.000 -3.281 5.682
ATOMIC_POSITIONS crystal
Cs 0.160 0.333 0.667
Cs 0.840 0.667 0.333
Ca 0.500 0.000 0.000
Ru 0.000 0.000 0.000
O 0.806 0.134 0.268
O 0.806 0.134 0.866
O 0.806 0.732 0.866
O 0.194 0.866 0.134
O 0.194 0.268 0.134
O 0.194 0.866 0.732
```

Calculated total energy in eV/atom: -5.634
M_tot in μB per atom: 0.000
Formation energy (no corrections) in eV/atom: -1.3607

---

[3]
This record from Alexandria describes a relaxed structure of Cs2Ca2S3O12. The functional is PBE. Values from VASP.

Geometry as Quantum ESPRESSO input:
```
&SYSTEM
  ibrav = 0, nat = 76, ntyp = 4
/
ATOMIC_SPECIES
Cs 132.91 Cs.upf
Ca 40.08 Ca.upf
S 32.06 S.upf
O 16.00 O.upf
CELL_PARAMETERS angstrom
10.891 0.000 0.000
0.000 10.891 0.000
0.000 0.000 10.891
ATOMIC_POSITIONS crystal
Cs 0.048 0.048 0.048
Cs 0.452 0.952 0.548
Cs 0.952 0.548 0.452
Cs 0.548 0.452 0.952
Cs 0.818 0.818 0.818
Cs 0.682 0.182 0.318
Cs 0.182 0.318 0.682
Cs 0.318 0.682 0.182
Ca 0.335 0.335 0.335
Ca 0.165 0.665 0.835
Ca 0.665 0.835 0.165
Ca 0.835 0.165 0.665
Ca 0.598 0.598 0.598
Ca 0.902 0.402 0.098
Ca 0.402 0.098 0.902
Ca 0.098 0.902 0.402
S 0.016 0.219 0.375
S 0.484 0.781 0.875
S 0.984 0.719 0.125
S 0.375 0.016 0.219
S 0.516 0.281 0.625
S 0.875 0.484 0.781
S 0.125 0.984 0.719
S 0.625 0.516 0.281
S 0.219 0.375 0.016
S 0.719 0.125 0.984
S 0.281 0.625 0.516
S 0.781 0.875 0.484
O 0.013 0.089 0.334
O 0.487 0.911 0.834
O 0.987 0.589 0.166
O 0.334 0.013 0.089
O 0.513 0.411 0.666
O 0.834 0.487 0.911
O 0.166 0.987 0.589
O 0.666 0.513 0.411
O 0.089 0.334 0.013
O 0.589 0.166 0.987
O 0.411 0.666 0.513
O 0.911 0.834 0.487
O 0.266 0.510 0.443
O 0.234 0.490 0.943
O 0.734 0.010 0.057
O 0.443 0.266 0.510
O 0.766 0.990 0.557
O 0.943 0.234 0.490
O 0.057 0.734 0.010
O 0.557 0.766 0.990
O 0.510 0.443 0.266
O 0.010 0.057 0.734
O 0.990 0.557 0.766
O 0.490 0.943 0.234
O 0.041 0.797 0.222
O 0.459 0.203 0.722
O 0.959 0.297 0.278
O 0.222 0.041 0.797
O 0.541 0.703 0.778
O 0.722 0.459 0.203
O 0.278 0.959 0.297
O 0.778 0.541 0.703
O 0.797 0.222 0.041
O 0.297 0.278 0.959
O 0.703 0.778 0.541
O 0.203 0.722 0.459
O 0.144 0.260 0.399
O 0.356 0.740 0.899
O 0.856 0.760 0.101
O 0.399 0.144 0.260
O 0.644 0.240 0.601
O 0.899 0.356 0.740
O 0.101 0.856 0.760
O 0.601 0.644 0.240
O 0.260 0.399 0.144
O 0.760 0.101 0.856
O 0.240 0.601 0.644
O 0.740 0.899 0.356
```

Calculated total energy in eV/atom: -6.184
M_tot in μB per atom: 0.000
Formation energy (no corrections) in eV/atom: -2.1003

---

[4]
This record from Alexandria describes a relaxed structure of CsCaS2O6. The functional is PBE. Values from VASP.

Geometry as Quantum ESPRESSO input:
```
&SYSTEM
  ibrav = 0, nat = 20, ntyp = 4
/
ATOMIC_SPECIES
Cs 132.91 Cs.upf
Ca 40.08 Ca.upf
S 32.06 S.upf
O 16.00 O.upf
CELL_PARAMETERS angstrom
-0.974 5.598 -4.238
4.545 -4.213 -3.441
-7.757 -4.341 0.286
ATOMIC_POSITIONS crystal
Cs 0.182 0.818 0.250
Cs 0.818 0.182 0.750
Ca 0.620 0.380 0.250
Ca 0.380 0.620 0.750
S 0.299 0.097 0.783
S 0.903 0.701 0.717
S 0.701 0.903 0.217
S 0.097 0.299 0.283
O 0.928 0.362 0.185
O 0.638 0.072 0.315
O 0.072 0.638 0.815
O 0.362 0.928 0.685
O 0.243 0.274 0.190
O 0.726 0.757 0.310
O 0.757 0.726 0.810
O 0.274 0.243 0.690
O 0.226 0.478 0.456
O 0.522 0.774 0.044
O 0.774 0.522 0.544
O 0.478 0.226 0.956
```

Calculated total energy in eV/atom: -5.871
M_tot in μB per atom: 0.103
Formation energy (no corrections) in eV/atom: -1.7853

---

[5]
This record from Alexandria describes a relaxed structure of CsCaS2O8. The functional is PBE. Values from VASP.

Geometry as Quantum ESPRESSO input:
```
&SYSTEM
  ibrav = 0, nat = 12, ntyp = 4
/
ATOMIC_SPECIES
Cs 132.91 Cs.upf
Ca 40.08 Ca.upf
S 32.06 S.upf
O 16.00 O.upf
CELL_PARAMETERS angstrom
-4.659 -2.952 -0.887
4.261 -2.282 2.801
-3.328 2.997 7.503
ATOMIC_POSITIONS crystal
Cs 0.000 0.000 0.000
Ca 0.000 0.000 0.500
S 0.667 0.333 0.278
S 0.333 0.667 0.722
O 0.333 0.667 0.891
O 0.377 0.186 0.335
O 0.814 0.192 0.335
O 0.667 0.333 0.109
O 0.186 0.808 0.665
O 0.623 0.814 0.665
O 0.192 0.377 0.665
O 0.808 0.623 0.335
```

Calculated total energy in eV/atom: -6.054
M_tot in μB per atom: 0.094
Formation energy (no corrections) in eV/atom: -1.8226

---

[6]
This record from Alexandria describes a relaxed structure of CsCaSbO4. The functional is PBE. Values from VASP.

Geometry as Quantum ESPRESSO input:
```
&SYSTEM
  ibrav = 0, nat = 7, ntyp = 4
/
ATOMIC_SPECIES
Cs 132.91 Cs.upf
Ca 40.08 Ca.upf
Sb 121.76 Sb.upf
O 16.00 O.upf
CELL_PARAMETERS angstrom
6.377 0.000 0.000
0.000 6.377 0.000
-3.189 -3.189 4.547
ATOMIC_POSITIONS crystal
Cs 0.000 0.000 0.000
Ca 0.500 0.500 0.000
Sb 0.250 0.750 0.500
O 0.265 0.091 0.737
O 0.355 0.735 0.263
O 0.472 0.645 0.737
O 0.909 0.528 0.263
```

Calculated total energy in eV/atom: -5.749
M_tot in μB per atom: 0.000
Formation energy (no corrections) in eV/atom: -1.9194

---

[7]
This record from Alexandria describes a relaxed structure of Cs2CaSb2O6. The functional is PBE. Values from VASP.

Geometry as Quantum ESPRESSO input:
```
&SYSTEM
  ibrav = 0, nat = 11, ntyp = 4
/
ATOMIC_SPECIES
Cs 132.91 Cs.upf
Ca 40.08 Ca.upf
Sb 121.76 Sb.upf
O 16.00 O.upf
CELL_PARAMETERS angstrom
-0.427 -6.123 2.125
5.811 2.587 -1.302
-3.475 2.446 6.351
ATOMIC_POSITIONS crystal
Cs 0.711 0.421 0.183
Cs 0.289 0.579 0.817
Ca 0.500 0.000 0.500
Sb 0.945 0.890 0.782
Sb 0.055 0.110 0.218
O 0.748 0.496 0.642
O 0.222 0.958 0.262
O 0.264 0.042 0.738
O 0.778 0.042 0.738
O 0.736 0.958 0.262
O 0.252 0.504 0.358
```

Calculated total energy in eV/atom: -5.462
M_tot in μB per atom: 0.000
Formation energy (no corrections) in eV/atom: -1.6706

---

[8]
This record from Alexandria describes a relaxed structure of Cs3CaSb2O8. The functional is PBE. Values from VASP.

Geometry as Quantum ESPRESSO input:
```
&SYSTEM
  ibrav = 0, nat = 14, ntyp = 4
/
ATOMIC_SPECIES
Cs 132.91 Cs.upf
Ca 40.08 Ca.upf
Sb 121.76 Sb.upf
O 16.00 O.upf
CELL_PARAMETERS angstrom
-0.722 5.062 -3.950
2.028 -5.668 -2.349
-8.078 -2.287 -1.455
ATOMIC_POSITIONS crystal
Cs 0.333 0.667 0.699
Cs 0.667 0.333 0.301
Cs 0.000 0.000 0.000
Ca 0.000 0.000 0.500
Sb 0.333 0.667 0.261
Sb 0.667 0.333 0.739
O 0.333 0.667 0.038
O 0.667 0.333 0.962
O 0.172 0.828 0.335
O 0.828 0.172 0.665
O 0.172 0.344 0.335
O 0.828 0.656 0.665
O 0.656 0.828 0.335
O 0.344 0.172 0.665
```

Calculated total energy in eV/atom: -5.355
M_tot in μB per atom: 0.082
Formation energy (no corrections) in eV/atom: -1.6068

---

Repeat the third record exactly.
This record from Alexandria describes a relaxed structure of Cs2Ca2S3O12. The functional is PBE. Values from VASP.

Geometry as Quantum ESPRESSO input:
```
&SYSTEM
  ibrav = 0, nat = 76, ntyp = 4
/
ATOMIC_SPECIES
Cs 132.91 Cs.upf
Ca 40.08 Ca.upf
S 32.06 S.upf
O 16.00 O.upf
CELL_PARAMETERS angstrom
10.891 0.000 0.000
0.000 10.891 0.000
0.000 0.000 10.891
ATOMIC_POSITIONS crystal
Cs 0.048 0.048 0.048
Cs 0.452 0.952 0.548
Cs 0.952 0.548 0.452
Cs 0.548 0.452 0.952
Cs 0.818 0.818 0.818
Cs 0.682 0.182 0.318
Cs 0.182 0.318 0.682
Cs 0.318 0.682 0.182
Ca 0.335 0.335 0.335
Ca 0.165 0.665 0.835
Ca 0.665 0.835 0.165
Ca 0.835 0.165 0.665
Ca 0.598 0.598 0.598
Ca 0.902 0.402 0.098
Ca 0.402 0.098 0.902
Ca 0.098 0.902 0.402
S 0.016 0.219 0.375
S 0.484 0.781 0.875
S 0.984 0.719 0.125
S 0.375 0.016 0.219
S 0.516 0.281 0.625
S 0.875 0.484 0.781
S 0.125 0.984 0.719
S 0.625 0.516 0.281
S 0.219 0.375 0.016
S 0.719 0.125 0.984
S 0.281 0.625 0.516
S 0.781 0.875 0.484
O 0.013 0.089 0.334
O 0.487 0.911 0.834
O 0.987 0.589 0.166
O 0.334 0.013 0.089
O 0.513 0.411 0.666
O 0.834 0.487 0.911
O 0.166 0.987 0.589
O 0.666 0.513 0.411
O 0.089 0.334 0.013
O 0.589 0.166 0.987
O 0.411 0.666 0.513
O 0.911 0.834 0.487
O 0.266 0.510 0.443
O 0.234 0.490 0.943
O 0.734 0.010 0.057
O 0.443 0.266 0.510
O 0.766 0.990 0.557
O 0.943 0.234 0.490
O 0.057 0.734 0.010
O 0.557 0.766 0.990
O 0.510 0.443 0.266
O 0.010 0.057 0.734
O 0.990 0.557 0.766
O 0.490 0.943 0.234
O 0.041 0.797 0.222
O 0.459 0.203 0.722
O 0.959 0.297 0.278
O 0.222 0.041 0.797
O 0.541 0.703 0.778
O 0.722 0.459 0.203
O 0.278 0.959 0.297
O 0.778 0.541 0.703
O 0.797 0.222 0.041
O 0.297 0.278 0.959
O 0.703 0.778 0.541
O 0.203 0.722 0.459
O 0.144 0.260 0.399
O 0.356 0.740 0.899
O 0.856 0.760 0.101
O 0.399 0.144 0.260
O 0.644 0.240 0.601
O 0.899 0.356 0.740
O 0.101 0.856 0.760
O 0.601 0.644 0.240
O 0.260 0.399 0.144
O 0.760 0.101 0.856
O 0.240 0.601 0.644
O 0.740 0.899 0.356
```

Calculated total energy in eV/atom: -6.184
M_tot in μB per atom: 0.000
Formation energy (no corrections) in eV/atom: -2.1003

---

Repeat the eighth record exactly.
This record from Alexandria describes a relaxed structure of Cs3CaSb2O8. The functional is PBE. Values from VASP.

Geometry as Quantum ESPRESSO input:
```
&SYSTEM
  ibrav = 0, nat = 14, ntyp = 4
/
ATOMIC_SPECIES
Cs 132.91 Cs.upf
Ca 40.08 Ca.upf
Sb 121.76 Sb.upf
O 16.00 O.upf
CELL_PARAMETERS angstrom
-0.722 5.062 -3.950
2.028 -5.668 -2.349
-8.078 -2.287 -1.455
ATOMIC_POSITIONS crystal
Cs 0.333 0.667 0.699
Cs 0.667 0.333 0.301
Cs 0.000 0.000 0.000
Ca 0.000 0.000 0.500
Sb 0.333 0.667 0.261
Sb 0.667 0.333 0.739
O 0.333 0.667 0.038
O 0.667 0.333 0.962
O 0.172 0.828 0.335
O 0.828 0.172 0.665
O 0.172 0.344 0.335
O 0.828 0.656 0.665
O 0.656 0.828 0.335
O 0.344 0.172 0.665
```

Calculated total energy in eV/atom: -5.355
M_tot in μB per atom: 0.082
Formation energy (no corrections) in eV/atom: -1.6068

---

- Which of these has the lowest calculated total energy?
  Cs2Ca2S3O12